No. 1
The following is a DFT calculation (GGA-PBEsol) of a geometry-optimized CdGaBi3 structure.

The structure belongs to space group Pm-3m (No. 221); the cell edges are 5.419, 5.419 and 5.419 Å and the angles 90.00°, 90.00° and 90.00°. Symmetry generates all atoms from Cd at (0.000, 0.000, 0.000), Ga at (0.500, 0.500, 0.500) and Bi at (0.000, 0.500, 0.500).

The calculation puts the formation energy at 544 meV per atom.

No. 2
The following is a DFT calculation (GGA-PBEsol) of a geometry-optimized La3Ga2Ni4 structure.

The structure belongs to space group C2/m (No. 12); the cell edges are 10.102, 4.173 and 8.135 Å and the angles 90.00°, 98.46° and 90.00°. Symmetry generates all atoms from La at (0.000, 0.000, 0.000), La at (0.125, 0.500, 0.380), Ga at (0.176, 0.500, 0.787), Ni at (0.084, 0.000, 0.637) and Ni at (0.243, 0.500, 0.087).

The calculation puts the formation energy at -501 meV per atom.

No. 3
The following is a DFT calculation (GGA-PBEsol) of a geometry-optimized MgTeSe2 structure.

The structure belongs to space group Pmmm (No. 47); the cell edges are 3.833, 3.855 and 7.342 Å and the angles 90.00°, 90.00° and 90.00°. Symmetry generates all atoms from Mg at (0.000, 0.000, 0.000), Te at (0.000, 0.500, 0.500), Se at (0.500, 0.000, 0.500) and Se at (0.500, 0.500, 0.000).

The value obtained for the energy relative to the elements, uncorrected is -0.31 eV/atom.

No. 4
The following is a DFT calculation (GGA-PBEsol) of a geometry-optimized Sm2Fe3Si5 structure.

The structure belongs to space group P4/mnc (No. 128); the cell edges are 10.326, 10.326 and 5.512 Å and the angles 90.00°, 90.00° and 90.00°. Symmetry generates all atoms from Sm at (0.069, 0.235, 0.000), Fe at (0.000, 0.500, 0.250), Fe at (0.123, 0.854, 0.500), Si at (0.000, 0.000, 0.278), Si at (0.021, 0.321, 0.500) and Si at (0.177, 0.677, 0.250).

The value obtained for the energy relative to the elements, uncorrected is -0.76 eV/atom.

No. 5
The following is a DFT calculation (GGA-PBEsol) of a geometry-optimized Ho5Si2Sb2 structure.

The structure belongs to space group Cmce (No. 64); the cell edges are 14.837, 7.683 and 7.706 Å and the angles 90.00°, 90.00° and 90.00°. Symmetry generates all atoms from Ho at (0.000, 0.000, 0.000), Ho at (0.127, 0.170, 0.330), Si at (0.000, 0.125, 0.625) and Sb at (0.207, 0.000, 0.000).

The value obtained for the energy relative to the elements, uncorrected is -0.96 eV/atom.

No. 6
The following is a DFT calculation (GGA-PBEsol) of a geometry-optimized SrSnCl2 structure.

The structure belongs to space group Fm-3m (No. 225); the cell edges are 7.408, 7.408 and 7.408 Å and the angles 90.00°, 90.00° and 90.00°. Symmetry generates all atoms from Sr at (0.000, 0.000, 0.000), Sn at (0.000, 0.000, 0.500) and Cl at (0.250, 0.250, 0.250).

The value obtained for the energy relative to the elements, uncorrected is -1.04 eV/atom.

No. 7
The following is a DFT calculation (GGA-PBEsol) of a geometry-optimized TaAgMo2 structure.

The structure belongs to space group P2/m (No. 10); the cell edges are 2.681, 4.594 and 5.349 Å and the angles 90.00°, 99.94° and 90.00°. Symmetry generates all atoms from Ta at (0.000, 0.000, 0.000), Ag at (0.500, 0.000, 0.500) and Mo at (0.268, 0.500, 0.765).

The calculation puts the formation energy at 310 meV per atom.

No. 8
The following is a DFT calculation (GGA-PBEsol) of a geometry-optimized CaBr2 structure.

The structure belongs to space group Fd-3m (No. 227, origin choice 2); the cell edges are 9.018, 9.018 and 9.018 Å and the angles 90.00°, 90.00° and 90.00°. Symmetry generates all atoms from Ca at (0.125, 0.125, 0.125) and Br at (0.000, 0.000, 0.500).

The value obtained for the energy relative to the elements, uncorrected is -0.53 eV/atom.

No. 9
The following is a DFT calculation (GGA-PBEsol) of a geometry-optimized ZrMoAs2 structure.

The structure belongs to space group I-4m2 (No. 119); the cell edges are 3.690, 3.690 and 10.174 Å and the angles 90.00°, 90.00° and 90.00°. Symmetry generates all atoms from Zr at (0.000, 0.000, 0.000), Mo at (0.000, 0.500, 0.750), As at (0.000, 0.000, 0.500) and As at (0.000, 0.500, 0.250).

The calculation puts the formation energy at -222 meV per atom.

No. 10
The following is a DFT calculation (GGA-PBEsol) of a geometry-optimized CaTaAs2Se structure.

The structure belongs to space group P4/mmm (No. 123); the cell edges are 5.023, 5.023 and 5.059 Å and the angles 90.00°, 90.00° and 90.00°. Symmetry generates all atoms from Ca at (0.000, 0.000, 0.000), Ta at (0.500, 0.500, 0.500), As at (0.000, 0.500, 0.000) and Se at (0.000, 0.000, 0.500).

The value obtained for the energy relative to the elements, uncorrected is 1.28 eV/atom.

No. 11
The following is a DFT calculation (GGA-PBEsol) of a geometry-optimized Mg2TlCl structure.

The structure belongs to space group R-3m (No. 166, hexagonal axes); the cell edges are 3.6699, 3.6699 and 23.6144 Å and the angles 90.00°, 90.00° and 120.00°. Symmetry generates all atoms from Mg at (0.0000, 0.0000, 0.2484), Tl at (0.0000, 0.0000, 0.0000) and Cl at (0.0000, 0.0000, 0.5000).

The value obtained for the energy relative to the elements, uncorrected is -0.53 eV/atom.